Entry 1:
First-principles (PBE) data for crystalline CuAsPtW at its relaxed geometry, as listed in OQMD via LeMat-Bulk.

Calculated values
The value obtained for the density is 14.13 g/cm³. The calculation puts the polymorph energy (0 for the lowest one) at 0 meV per atom.

The structure in POSCAR format:
```
CuAsPtW
1.0
0.000 3.121 3.121
3.121 0.000 3.121
3.121 3.121 0.000
Cu As Pt W
1 1 1 1
Direct
0.000 0.000 0.000 Cu
0.750 0.750 0.750 As
0.250 0.250 0.250 Pt
0.500 0.500 0.500 W
```

=====

Entry 2:
First-principles (PBE) data for crystalline Cu7Hg6 at its relaxed geometry, as listed in OQMD via LeMat-Bulk.

Calculated values
The value obtained for the density is 9.20 g/cm³. The calculation puts the polymorph energy (0 for the lowest one) at 152 meV per atom. The formation energy comes out at 26 kJ/mol of atoms.

The structure in POSCAR format:
```
Cu7Hg6
1.0
5.390 3.112 5.914
-5.390 3.112 5.914
0.000 -6.224 5.914
Cu Hg
14 12
Direct
0.000 0.000 0.000 Cu
0.058 0.671 0.671 Cu
0.496 0.883 0.883 Cu
0.583 0.583 0.829 Cu
0.583 0.829 0.583 Cu
0.671 0.058 0.671 Cu
0.671 0.671 0.058 Cu
0.728 0.971 0.971 Cu
0.775 0.775 0.775 Cu
0.829 0.583 0.583 Cu
0.883 0.496 0.883 Cu
0.883 0.883 0.496 Cu
0.971 0.728 0.971 Cu
0.971 0.971 0.728 Cu
0.175 0.175 0.752 Hg
0.175 0.752 0.175 Hg
0.199 0.453 0.915 Hg
0.199 0.915 0.453 Hg
0.292 0.772 0.772 Hg
0.453 0.199 0.915 Hg
0.453 0.915 0.199 Hg
0.752 0.175 0.175 Hg
0.772 0.292 0.772 Hg
0.772 0.772 0.292 Hg
0.915 0.199 0.453 Hg
0.915 0.453 0.199 Hg
```

=====

Entry 3:
First-principles (PBE) data for crystalline HfBeCdPd at its relaxed geometry, as listed in OQMD via LeMat-Bulk.

Calculated values
The value obtained for the density is 10.18 g/cm³. The calculation puts the polymorph energy (0 for the lowest one) at 97 meV per atom.

The structure in POSCAR format:
```
HfBeCdPd
1.0
0.000 3.212 3.212
3.212 0.000 3.212
3.212 3.212 0.000
Hf Be Cd Pd
1 1 1 1
Direct
0.000 0.000 0.000 Hf
0.500 0.500 0.500 Be
0.250 0.250 0.250 Cd
0.750 0.750 0.750 Pd
```

=====

Entry 4:
First-principles (PBE) data for crystalline TbYZn2In2 at its relaxed geometry, as listed in OQMD via LeMat-Bulk.

Calculated values
The value obtained for the density is 7.35 g/cm³. As for the uncorrected energy: -3.629 eV/atom.

The structure in POSCAR format:
```
TbYZn2In2
1.0
4.677 0.000 0.000
-2.338 4.050 0.000
0.000 0.000 7.259
Tb Y Zn In
1 1 2 2
Direct
0.000 0.000 0.000 Tb
0.000 0.000 0.500 Y
0.333 0.667 0.750 Zn
0.667 0.333 0.250 Zn
0.333 0.667 0.250 In
0.667 0.333 0.750 In
```

=====

Entry 5:
First-principles (PBE) data for crystalline Zr4Tl3W2C3 at its relaxed geometry, as listed in OQMD via LeMat-Bulk.

Calculated values
The value obtained for the density is 11.08 g/cm³. As for the uncorrected energy: -8.250 eV/atom.

The structure in POSCAR format:
```
Zr4Tl3W2C3
1.0
4.923 -2.853 0.000
4.923 2.853 0.000
-3.336 0.000 14.748
Zr Tl W C
8 6 4 6
Direct
0.037 0.189 0.087 Zr
0.129 0.305 0.413 Zr
0.189 0.037 0.587 Zr
0.305 0.129 0.913 Zr
0.695 0.871 0.087 Zr
0.811 0.963 0.413 Zr
0.871 0.695 0.587 Zr
0.963 0.811 0.913 Zr
0.105 0.895 0.250 Tl
0.268 0.418 0.752 Tl
0.418 0.268 0.252 Tl
0.582 0.732 0.748 Tl
0.732 0.582 0.248 Tl
0.895 0.105 0.750 Tl
0.346 0.524 0.072 W
0.476 0.654 0.428 W
0.524 0.346 0.572 W
0.654 0.476 0.928 W
0.000 0.500 0.000 C
0.181 0.660 0.500 C
0.340 0.819 0.000 C
0.500 0.000 0.500 C
0.660 0.181 0.000 C
0.819 0.340 0.500 C
```

=====

Entry 6:
First-principles (PBE) data for crystalline TmSiAsO at its relaxed geometry, as listed in OQMD via LeMat-Bulk.

Calculated values
The value obtained for the density is 6.83 g/cm³. The calculation puts the polymorph energy (0 for the lowest one) at 53 meV per atom.

The structure in POSCAR format:
```
TmSiAsO
1.0
3.752 0.000 0.000
0.000 3.752 0.000
0.000 0.000 9.942
Tm Si As O
2 2 2 2
Direct
0.250 0.250 0.113 Tm
0.750 0.750 0.887 Tm
0.250 0.750 0.500 Si
0.750 0.250 0.500 Si
0.250 0.250 0.703 As
0.750 0.750 0.297 As
0.250 0.750 0.000 O
0.750 0.250 0.000 O
```

=====

Entry 7:
First-principles (PBE) data for crystalline Ho4B3C4 at its relaxed geometry, as listed in OQMD via LeMat-Bulk.

Calculated values
The value obtained for the density is 8.34 g/cm³. As for the uncorrected energy: -7.321 eV/atom.

The structure in POSCAR format:
```
Ho4B3C4
1.0
3.491 0.000 0.000
-0.008 3.588 0.000
-1.464 -0.553 11.773
Ho B C
4 3 4
Direct
0.105 0.448 0.140 Ho
0.304 0.022 0.650 Ho
0.696 0.978 0.350 Ho
0.895 0.552 0.860 Ho
0.254 0.494 0.459 B
0.500 0.000 0.000 B
0.746 0.506 0.541 B
0.189 0.474 0.332 C
0.401 0.059 0.878 C
0.599 0.941 0.122 C
0.811 0.526 0.668 C
```

=====

Entry 8:
First-principles (PBE) data for crystalline HoF3 at its relaxed geometry, as listed in OQMD via LeMat-Bulk.

Calculated values
The value obtained for the density is 5.78 g/cm³. As for the uncorrected energy: -6.564 eV/atom.

The structure in POSCAR format:
```
HoF3
1.0
5.299 0.000 0.000
0.000 5.299 0.000
0.000 0.000 9.076
Ho F
4 12
Direct
0.000 0.000 0.185 Ho
0.000 0.000 0.815 Ho
0.500 0.500 0.315 Ho
0.500 0.500 0.685 Ho
0.185 0.185 0.000 F
0.216 0.216 0.337 F
0.216 0.216 0.663 F
0.284 0.716 0.163 F
0.284 0.716 0.837 F
0.315 0.685 0.500 F
0.685 0.315 0.500 F
0.716 0.284 0.163 F
0.716 0.284 0.837 F
0.784 0.784 0.337 F
0.784 0.784 0.663 F
0.815 0.815 0.000 F
```

=====

Entry 9:
First-principles (PBE) data for crystalline CuSeS at its relaxed geometry, as listed in OQMD via LeMat-Bulk.

Calculated values
The value obtained for the density is 4.56 g/cm³. The calculation puts the polymorph energy (0 for the lowest one) at 89 meV per atom.

The structure in POSCAR format:
```
CuSeS
1.0
11.129 0.000 0.000
0.000 3.849 0.000
0.000 0.000 5.937
Cu Se S
4 4 4
Direct
0.142 0.250 0.184 Cu
0.358 0.750 0.684 Cu
0.642 0.250 0.316 Cu
0.858 0.750 0.816 Cu
0.186 0.750 0.946 Se
0.314 0.250 0.446 Se
0.686 0.750 0.554 Se
0.814 0.250 0.054 Se
0.044 0.750 0.687 S
0.456 0.250 0.187 S
0.544 0.750 0.813 S
0.956 0.250 0.313 S
```

=====

Entry 10:
First-principles (PBE) data for crystalline BeZn13 at its relaxed geometry, as listed in OQMD via LeMat-Bulk.

Calculated values
The value obtained for the density is 6.42 g/cm³. As for the uncorrected energy: -1.235 eV/atom.

The structure in POSCAR format:
```
BeZn13
1.0
0.000 6.058 6.058
6.058 0.000 6.058
6.058 6.058 0.000
Be Zn
2 26
Direct
0.250 0.250 0.250 Be
0.750 0.750 0.750 Be
0.000 0.000 0.000 Zn
0.061 0.302 0.698 Zn
0.061 0.698 0.939 Zn
0.061 0.939 0.302 Zn
0.198 0.439 0.802 Zn
0.198 0.561 0.439 Zn
0.198 0.802 0.561 Zn
0.302 0.061 0.939 Zn
0.302 0.698 0.061 Zn
0.302 0.939 0.698 Zn
0.439 0.198 0.561 Zn
0.439 0.561 0.802 Zn
0.439 0.802 0.198 Zn
0.500 0.500 0.500 Zn
0.561 0.198 0.802 Zn
0.561 0.439 0.198 Zn
0.561 0.802 0.439 Zn
0.698 0.061 0.302 Zn
0.698 0.302 0.939 Zn
0.698 0.939 0.061 Zn
0.802 0.198 0.439 Zn
0.802 0.439 0.561 Zn
0.802 0.561 0.198 Zn
0.939 0.061 0.698 Zn
0.939 0.302 0.061 Zn
0.939 0.698 0.302 Zn
```

=====

Entry 11:
First-principles (PBE) data for crystalline Pt3Se4 at its relaxed geometry, as listed in OQMD via LeMat-Bulk.

Calculated values
The value obtained for the density is 9.21 g/cm³. As for the uncorrected energy: -4.641 eV/atom.

The structure in POSCAR format:
```
Pt3Se4
1.0
6.875 0.000 0.000
0.000 6.875 0.000
0.000 0.000 6.875
Pt Se
6 8
Direct
0.000 0.250 0.500 Pt
0.000 0.750 0.500 Pt
0.250 0.500 0.000 Pt
0.500 0.000 0.250 Pt
0.500 0.000 0.750 Pt
0.750 0.500 0.000 Pt
0.250 0.250 0.250 Se
0.250 0.250 0.750 Se
0.250 0.750 0.250 Se
0.250 0.750 0.750 Se
0.750 0.250 0.250 Se
0.750 0.250 0.750 Se
0.750 0.750 0.250 Se
0.750 0.750 0.750 Se
```

=====

Entry 12:
First-principles (PBE) data for crystalline GdLuNi2 at its relaxed geometry, as listed in OQMD via LeMat-Bulk.

Calculated values
The value obtained for the density is 9.55 g/cm³. The calculation puts the polymorph energy (0 for the lowest one) at 3 meV per atom. The formation energy comes out at -45 kJ/mol of atoms.

The structure in POSCAR format:
```
GdLuNi2
1.0
4.154 0.000 0.000
0.000 5.395 0.000
0.000 0.000 6.974
Gd Lu Ni
2 2 4
Direct
0.000 0.118 0.000 Gd
0.000 0.882 0.500 Gd
0.500 0.384 0.640 Lu
0.500 0.616 0.140 Lu
0.000 0.383 0.360 Ni
0.000 0.617 0.860 Ni
0.500 0.129 0.286 Ni
0.500 0.871 0.786 Ni
```

=====

Copy entry 4 word for word.
First-principles (PBE) data for crystalline TbYZn2In2 at its relaxed geometry, as listed in OQMD via LeMat-Bulk.

Calculated values
The value obtained for the density is 7.35 g/cm³. As for the uncorrected energy: -3.629 eV/atom.

The structure in POSCAR format:
```
TbYZn2In2
1.0
4.677 0.000 0.000
-2.338 4.050 0.000
0.000 0.000 7.259
Tb Y Zn In
1 1 2 2
Direct
0.000 0.000 0.000 Tb
0.000 0.000 0.500 Y
0.333 0.667 0.750 Zn
0.667 0.333 0.250 Zn
0.333 0.667 0.250 In
0.667 0.333 0.750 In
```

=====

Repeat the sixth record exactly.
First-principles (PBE) data for crystalline TmSiAsO at its relaxed geometry, as listed in OQMD via LeMat-Bulk.

Calculated values
The value obtained for the density is 6.83 g/cm³. The calculation puts the polymorph energy (0 for the lowest one) at 53 meV per atom.

The structure in POSCAR format:
```
TmSiAsO
1.0
3.752 0.000 0.000
0.000 3.752 0.000
0.000 0.000 9.942
Tm Si As O
2 2 2 2
Direct
0.250 0.250 0.113 Tm
0.750 0.750 0.887 Tm
0.250 0.750 0.500 Si
0.750 0.250 0.500 Si
0.250 0.250 0.703 As
0.750 0.750 0.297 As
0.250 0.750 0.000 O
0.750 0.250 0.000 O
```